The following is a PBE with a Hubbard U calculation of a relaxed structure of Li3MnCoO5, from the Alexandria database.

Computed properties:
Crystal system: triclinic
Total energy: -5.937 eV/atom

Cell: 5.088 5.132 7.633 Å, 102.96 108.62 99.81°
Space group P-1 (No. 2)
Symmetry-distinct sites (fractional):
1 Li 0.000 0.000 0.000
2 Li 0.000 0.500 0.500
3 Li 0.194 0.007 0.402
4 Li 0.395 0.996 0.798
5 Mn 0.399 0.495 0.301
6 Co 0.195 0.498 0.889
7 O 0.023 0.268 0.246
8 O 0.210 0.719 0.152
9 O 0.224 0.271 0.667
10 O 0.407 0.269 0.064
11 O 0.416 0.723 0.545